4
Lattice="5.016 0.000 0.000 0.000 5.016 0.000 0.000 0.000 2.904" Properties=species:S:1:pos:R:3 comment="Zn2PbW PBE relaxed" dft_energy_ev_per_atom=-4.17 magnetic_moment_mub_per_atom=0.00 dos_at_fermi_per_ev_atom=0.271 formation_enthalpy_0k_ev_per_atom=0.63 pbc="T T T"
Zn 0.000 2.508 0.000
Zn 2.508 0.000 0.000
Pb 0.000 0.000 1.452
W 2.508 2.508 1.452


4
Lattice="-1.918 1.918 4.251 1.918 -1.918 4.251 1.918 1.918 -4.251" Properties=species:S:1:pos:R:3 comment="YBe2P PBE relaxed" dft_energy_ev_per_atom=-4.72 magnetic_moment_mub_per_atom=0.00 dos_at_fermi_per_ev_atom=0.747 formation_enthalpy_0k_ev_per_atom=0.11 pbc="T T T"
Y 0.000 0.000 0.000
Be 1.918 0.000 2.125
Be 0.000 0.000 4.251
P 0.000 1.918 2.125


16
Lattice="6.708 0.000 0.000 0.000 12.130 0.000 0.000 0.000 4.976" Properties=species:S:1:pos:R:3 comment="Er5TcHg2 PBE relaxed" dft_energy_ev_per_atom=-4.51 magnetic_moment_mub_per_atom=0.00 dos_at_fermi_per_ev_atom=1.015 formation_enthalpy_0k_ev_per_atom=-0.28 pbc="T T T"
Er 0.000 0.000 0.000
Er 0.899 3.490 0.000
Er 1.109 7.221 2.488
Er 2.245 1.156 2.488
Er 2.455 9.555 0.000
Er 3.354 6.065 0.000
Er 4.253 2.575 0.000
Er 4.463 10.974 2.488
Er 5.598 4.909 2.488
Er 5.808 8.639 0.000
Tc 0.000 6.065 0.000
Tc 3.354 0.000 0.000
Hg 0.730 10.317 2.488
Hg 2.624 4.252 2.488
Hg 4.084 7.878 2.488
Hg 5.978 1.813 2.488


12
Lattice="5.643 0.000 0.000 -2.822 4.887 0.000 0.000 0.000 8.819" Properties=species:S:1:pos:R:3 comment="Pm3ThZn8 PBE relaxed" dft_energy_ev_per_atom=-2.94 magnetic_moment_mub_per_atom=0.00 dos_at_fermi_per_ev_atom=0.658 formation_enthalpy_0k_ev_per_atom=-0.28 pbc="T T T"
Pm 0.000 0.000 0.000
Pm 0.000 0.000 3.343
Pm 0.000 3.258 7.906
Th 0.000 3.258 4.567
Zn -1.395 2.453 1.772
Zn 1.396 0.806 6.156
Zn 1.395 2.453 1.772
Zn 0.000 4.869 1.772
Zn 2.822 1.629 3.964
Zn 2.822 1.629 8.372
Zn 4.247 0.806 6.156
Zn 2.822 3.275 6.156


10
Lattice="5.746 0.000 0.000 0.000 6.663 0.000 -0.702 0.000 6.695" Properties=species:S:1:pos:R:3 comment="Ce3TcSn PBE relaxed" dft_energy_ev_per_atom=-6.76 magnetic_moment_mub_per_atom=0.15 dos_at_fermi_per_ev_atom=1.922 formation_enthalpy_0k_ev_per_atom=-0.32 e_above_lowest_polymorph_mev_per_atom=0.0 pbc="T T T"
Ce 0.466 1.666 1.010
Ce 1.801 0.141 4.582
Ce 1.801 3.190 4.582
Ce 3.243 3.473 2.113
Ce 3.243 6.522 2.113
Ce 4.578 4.997 5.685
Tc 1.096 4.997 6.491
Tc 3.949 1.666 0.204
Sn 0.322 4.997 2.259
Sn 4.722 1.666 4.437


5
Lattice="4.949 0.000 0.000 0.000 4.949 0.000 0.000 0.000 4.949" Properties=species:S:1:pos:R:3 comment="PtAuSe3 PBE relaxed" dft_energy_ev_per_atom=-3.28 raw_formation_energy_ev_per_atom=0.677 magnetic_moment_mub_per_atom=0.01 dos_at_fermi_per_ev_atom=1.690 e_above_lowest_polymorph_mev_per_atom=0.0 pbc="T T T"
Pt 0.000 0.000 0.000
Au 2.475 2.475 2.475
Se 0.000 0.000 2.475
Se 0.000 2.475 0.000
Se 2.475 0.000 0.000


4
Lattice="2.952 0.000 0.000 0.000 2.952 0.000 0.000 0.000 5.955" Properties=species:S:1:pos:R:3 comment="V2CrRu PBE relaxed" dft_energy_ev_per_atom=-9.56 magnetic_moment_mub_per_atom=0.00 dos_at_fermi_per_ev_atom=0.569 formation_enthalpy_0k_ev_per_atom=-0.27 e_above_lowest_polymorph_mev_per_atom=0.0 pbc="T T T"
V 0.000 0.000 1.414
V 0.000 0.000 4.541
Cr 1.476 1.476 0.000
Ru 1.476 1.476 2.977


4
Lattice="-1.848 1.848 3.399 1.848 -1.848 3.399 1.848 1.848 -3.399" Properties=species:S:1:pos:R:3 comment="FeCuSi2 PBE relaxed" dft_energy_ev_per_atom=-5.89 raw_formation_energy_ev_per_atom=-0.037 magnetic_moment_mub_per_atom=0.18 dos_at_fermi_per_ev_atom=0.478 pbc="T T T"
Fe 0.000 0.000 0.000
Cu 0.000 0.000 3.399
Si 1.848 0.000 1.700
Si 0.000 1.848 1.700


> Which formula does entry 7 have?

V2CrRu


> Which formula does entry 7 have?

V2CrRu